A relaxed BAs3Br crystal. Source: Alexandria, functional PBE.

Computed properties:
The value obtained for the total moment is 0.0 Bohr magnetons per cell. The formation energy from raw total energies comes out at 4.37 eV per formula unit. Its excess energy over the best structure of this formula in the dataset is 0.0 meV/atom.

Cell: 4.559 4.559 4.559 Å, 90.00 90.00 90.00°
Space group Pm-3m (No. 221)
Inequivalent atoms, fractional coordinates:
B (0.000, 0.000, 0.000) [1 per cell]
As (0.000, 0.000, 0.500) [3 per cell]
Br (0.500, 0.500, 0.500) [1 per cell]

---

A relaxed MnInNi2 crystal. Source: Alexandria, functional PBE.

Computed properties:
The value obtained for the formation energy is 0.225 eV per atom. The value obtained for the total moment is 12.1 Bohr magnetons per cell.

Cell: 2.8776 2.8776 24.3749 Å, 90.00 90.00 120.00°
Space group R-3m (No. 166, hexagonal axes)
Inequivalent atoms, fractional coordinates:
Mn (0.0000, 0.0000, 0.0000) [3 per cell]
In (0.0000, 0.0000, 0.5000) [3 per cell]
Ni (0.0000, 0.0000, 0.2552) [6 per cell]

---

A relaxed CsKCr2Ag crystal. Source: Alexandria, functional PBE.

Computed properties:
The value obtained for the formation energy is 1.773 eV per atom. The value obtained for the total moment is 11.0 Bohr magnetons per cell.

Cell: 6.357 6.357 7.471 Å, 90.00 90.00 90.00°
Space group P4/mmm (No. 123)
Inequivalent atoms, fractional coordinates:
Cs (0.000, 0.000, 0.000) [1 per cell]
K (0.000, 0.000, 0.500) [1 per cell]
Cr (0.000, 0.500, 0.000) [2 per cell]
Ag (0.500, 0.500, 0.500) [1 per cell]

---

A relaxed Sm5Er4Tm3 crystal. Source: Alexandria, functional PBE.

Computed properties:
The value obtained for the formation energy is 0.242 eV per atom. The value obtained for the total moment is 0.6 Bohr magnetons per cell.

Cell: 16.027 5.870 9.213 Å, 90.00 116.03 90.00°
Space group C2/m (No. 12)
Inequivalent atoms, fractional coordinates:
Sm (0.000, 0.000, 0.000) [2 per cell]
Sm (0.075, 0.000, 0.699) [4 per cell]
Sm (0.207, 0.500, 0.226) [4 per cell]
Er (0.081, 0.500, 0.437) [4 per cell]
Er (0.211, 0.500, 0.875) [4 per cell]
Tm (0.000, 0.500, 0.000) [2 per cell]
Tm (0.176, 0.000, 0.391) [4 per cell]

---

A relaxed RbTiSbTe2 crystal. Source: Alexandria, functional PBE.

Computed properties:
The value obtained for the total moment is 0.0 Bohr magnetons per cell. The formation energy from raw total energies comes out at -2.17 eV per formula unit. Its excess energy over the best structure of this formula in the dataset is 0.0 meV/atom.

Cell: 5.518 5.518 5.386 Å, 90.00 90.00 90.00°
Space group P4/mmm (No. 123)
Inequivalent atoms, fractional coordinates:
Rb (0.000, 0.000, 0.000) [1 per cell]
Ti (0.500, 0.500, 0.500) [1 per cell]
Sb (0.500, 0.500, 0.000) [1 per cell]
Te (0.000, 0.500, 0.500) [2 per cell]

---

A relaxed PuFe2Ge2C crystal. Source: Alexandria, functional PBE.

Computed properties:
The value obtained for the formation energy is -0.217 eV per atom. The value obtained for the total moment is 7.9 Bohr magnetons per cell.

Cell: 3.951 3.951 5.363 Å, 90.00 90.00 90.00°
Space group P4/mmm (No. 123)
Inequivalent atoms, fractional coordinates:
Pu (0.000, 0.000, 0.000) [1 per cell]
Fe (0.000, 0.500, 0.500) [2 per cell]
Ge (0.500, 0.500, 0.228) [2 per cell]
C (0.000, 0.000, 0.500) [1 per cell]

---

A relaxed In2FeSn crystal. Source: Alexandria, functional PBE.

Computed properties:
The value obtained for the formation energy is 0.539 eV per atom. The value obtained for the total moment is 8.9 Bohr magnetons per cell.

Cell: 3.1382 3.1382 34.3351 Å, 90.00 90.00 120.00°
Space group R-3m (No. 166, hexagonal axes)
Inequivalent atoms, fractional coordinates:
In (0.0000, 0.0000, 0.0786) [6 per cell]
Fe (0.0000, 0.0000, 0.0000) [3 per cell]
Sn (0.0000, 0.0000, 0.5000) [3 per cell]

---

A relaxed Na3OsN2 crystal. Source: Alexandria, functional PBE.

Computed properties:
The value obtained for the total moment is 0.0 Bohr magnetons per cell. The formation energy from raw total energies comes out at -0.01 eV per formula unit.

Cell: 8.692 7.365 6.131 Å, 90.00 90.00 90.00°
Space group Cmcm (No. 63)
Inequivalent atoms, fractional coordinates:
Na (0.000, 0.243, 0.250) [4 per cell]
Na (0.211, 0.000, 0.000) [8 per cell]
Os (0.000, 0.342, 0.750) [4 per cell]
N (0.000, 0.094, 0.750) [4 per cell]
N (0.000, 0.500, 0.000) [4 per cell]

---

A relaxed BaNd2Sc crystal. Source: Alexandria, functional PBE.

Computed properties:
The value obtained for the formation energy is 0.176 eV per atom. The value obtained for the total moment is 0.0 Bohr magnetons per cell. Its excess energy over the best structure of this formula in the dataset is 56.3 meV/atom.

Cell: 3.7055 3.7055 36.5965 Å, 90.00 90.00 120.00°
Space group R-3m (No. 166, hexagonal axes)
Inequivalent atoms, fractional coordinates:
Ba (0.0000, 0.0000, 0.0000) [3 per cell]
Nd (0.0000, 0.0000, 0.2392) [6 per cell]
Sc (0.0000, 0.0000, 0.5000) [3 per cell]

---

A relaxed Tl2ICl crystal. Source: Alexandria, functional PBE.

Computed properties:
The value obtained for the total moment is 0.0 Bohr magnetons per cell. The formation energy from raw total energies comes out at -3.04 eV per formula unit. Its excess energy over the best structure of this formula in the dataset is 73.6 meV/atom.

Cell: 5.775 5.775 4.143 Å, 90.00 90.00 90.00°
Space group P4/mmm (No. 123)
Inequivalent atoms, fractional coordinates:
Tl (0.000, 0.500, 0.000) [2 per cell]
I (0.000, 0.000, 0.500) [1 per cell]
Cl (0.500, 0.500, 0.500) [1 per cell]

---

A relaxed MnAsPdRh crystal. Source: Alexandria, functional PBE.

Computed properties:
The value obtained for the formation energy is -0.192 eV per atom. The value obtained for the total moment is 16.6 Bohr magnetons per cell.

Cell: 6.208 6.208 6.208 Å, 90.00 90.00 90.00°
Space group F-43m (No. 216)
Inequivalent atoms, fractional coordinates:
Mn (0.000, 0.000, 0.000) [4 per cell]
As (0.000, 0.000, 0.500) [4 per cell]
Pd (0.250, 0.250, 0.750) [4 per cell]
Rh (0.250, 0.250, 0.250) [4 per cell]

---

A relaxed DyHo6Pu crystal. Source: Alexandria, functional PBE.

Computed properties:
The value obtained for the formation energy is 0.059 eV per atom. The value obtained for the total moment is 13.3 Bohr magnetons per cell.

Cell: 5.630 7.110 12.314 Å, 90.00 90.00 90.00°
Space group Amm2 (No. 38)
Inequivalent atoms, fractional coordinates:
Dy (0.000, 0.000, 0.000) [2 per cell]
Ho (0.000, 0.000, 0.497) [2 per cell]
Ho (0.000, 0.246, 0.246) [4 per cell]
Ho (0.500, 0.000, 0.665) [2 per cell]
Ho (0.500, 0.249, 0.914) [4 per cell]
Pu (0.500, 0.000, 0.164) [2 per cell]